Entry 1:
5
Lattice="-0.349 -1.823 3.389 3.380 -1.770 -0.604 1.838 2.910 1.755" Properties=species:S:1:pos:R:3 comment="BaHN3 PBE relaxed" space_group=Pm-3m final_energy_ev_per_atom=-4.10 pbc="T T T"
H 0.000 0.000 0.000
Ba 2.435 -0.341 2.270
N -0.175 -0.911 1.694
N 1.690 -0.885 -0.302
N 0.919 1.455 0.877



Entry 2:
18
Lattice="4.022 0.000 0.000 0.000 7.724 0.000 0.000 0.000 13.597" Properties=species:S:1:pos:R:3 comment="ThMgPd PBE relaxed" e_form_mev_per_atom=-549 space_group=Pmma final_energy_ev_per_atom=-5.28 pbc="T T T"
Mg 2.011 4.357 11.900
Th 0.000 1.829 7.392
Pd 2.011 0.481 1.350
Pd 2.011 7.243 12.246
Th 0.000 5.895 0.594
Pd 0.000 4.235 3.399
Th 0.000 1.090 3.399
Mg 2.011 4.357 8.495
Mg 2.011 1.645 10.197
Mg 2.011 3.367 1.696
Mg 2.011 6.079 3.399
Th 0.000 5.895 6.205
Th 0.000 6.634 10.197
Pd 0.000 3.489 10.197
Pd 2.011 7.243 8.149
Pd 2.011 0.481 5.448
Th 0.000 1.829 13.003
Mg 2.011 3.367 5.102



Entry 3:
4
Lattice="5.353 0.000 0.000 0.000 5.336 0.000 0.000 0.000 5.336" Properties=species:S:1:pos:R:3 comment="Sr2EuPb PBE relaxed" relative_energy_mev_per_atom=0 e_form_mev_per_atom=-303 space_group=P4/mmm final_energy_ev_per_atom=-4.64 pbc="T T T"
Sr 0.000 0.000 2.668
Pb 2.676 2.668 2.668
Eu 2.676 0.000 0.000
Sr 0.000 2.668 0.000



Number 1: total magnetization 1.0 μB/cell. Number 2: total magnetization 0.0 μB/cell. Number 3: total magnetization 7.1 μB/cell.